Record 1
Crystalline ErTh2ScBi4 at its relaxed geometry. Source: Alexandria, functional PBE.

Structure (POSCAR):
```
ErTh2ScBi4
1.0
4.501 0.000 0.000
0.000 7.788 0.129
0.000 -2.726 7.215
Bi Er Th Sc
4 1 2 1
Cartesian
0.000 5.124 1.753
0.000 -0.062 5.590
2.251 3.756 5.628
2.251 1.307 1.715
0.000 0.000 0.000
0.000 2.531 3.672
2.251 -1.363 3.607
2.251 3.894 0.064
```

Values from the calculation:
The calculation puts the energy at -5.798 eV/atom. Its space group is P2/m. The crystal system is monoclinic. The calculation puts the density at 9.87 g/cm³.

---

Record 2
Crystalline PmGaSnO5 at its relaxed geometry. Source: Alexandria, functional PBE.

Structure (POSCAR):
```
PmGaSnO5
1.0
-1.532 0.596 5.569
2.723 -5.102 -0.521
5.409 4.956 -0.859
O Pm Sn Ga
10 2 2 2
Cartesian
1.357 1.861 3.388
0.572 -0.810 1.843
6.533 1.028 -0.580
2.896 3.817 4.395
6.028 1.260 2.346
0.067 -0.578 4.769
5.243 -1.410 0.801
2.918 -0.675 3.356
3.682 1.126 0.833
3.704 -3.367 -0.205
2.655 -1.961 1.298
3.945 2.411 2.892
0.000 0.000 0.000
2.705 2.478 -0.429
5.418 0.439 0.784
1.182 0.011 3.405
```

Values from the calculation:
Its space group is C2/c. The crystal system is monoclinic. The formation energy from raw total energies comes out at -2283.7 meV per atom. The calculation puts the density at 6.30 g/cm³.

---

Record 3
Crystalline ZrInSb2 at its relaxed geometry. Source: Alexandria, functional PBE.

Structure (POSCAR):
```
ZrInSb2
1.0
3.389 0.012 0.000
-0.812 3.291 0.000
0.000 0.000 9.387
In Sb Zr
1 2 1
Cartesian
1.289 1.651 7.040
0.000 0.000 0.278
0.000 0.000 4.416
1.289 1.651 2.347
```

Values from the calculation:
Its space group is Cmmm. The crystal system is orthorhombic. The formation energy from raw total energies comes out at -254.3 meV per atom. The calculation puts the density at 7.12 g/cm³.

---

Record 4
Crystalline Fe2CoAu at its relaxed geometry. Source: Alexandria, functional PBE.

Structure (POSCAR):
```
Fe2CoAu
1.0
4.604 -0.003 -0.004
1.552 4.334 0.004
-3.073 -2.172 2.652
Co Fe Au
1 2 1
Cartesian
0.778 2.163 1.328
2.305 -0.005 1.324
0.000 0.000 0.000
3.078 2.165 0.000
```

Values from the calculation:
Its space group is I-4m2. The crystal system is tetragonal. The value obtained for the energy above the most stable polymorph in this dataset is 49 meV per atom. The calculation puts the density at 11.53 g/cm³.